--- A ---
# HfMgAg3 (PBE, relaxed)
# Density of states at the Fermi level, states/eV per atom: 0.663
data_HfMgAg3
_chemical_formula_sum 'Hf1 Mg1 Ag3'
_symmetry_space_group_name_H-M 'P 1'
_symmetry_Int_Tables_number 1
_symmetry_space_group_name_Hall 'P 1'
_cell_length_a 5.242
_cell_length_b 5.242
_cell_length_c 5.242
_cell_angle_alpha 90.00
_cell_angle_beta 90.00
_cell_angle_gamma 90.00
loop_
_atom_site_label
_atom_site_type_symbol
_atom_site_fract_x
_atom_site_fract_y
_atom_site_fract_z
Hf1 Hf 0.000 0.000 0.000
Mg1 Mg 0.500 0.500 0.500
Ag1 Ag 0.000 0.000 0.500
Ag2 Ag 0.000 0.500 0.000
Ag3 Ag 0.500 0.000 0.000

--- B ---
# HfMgAg3 (PBE, relaxed)
# Density of states at the Fermi level, states/eV per atom: 1.259
data_HfMgAg3
_chemical_formula_sum 'Hf1 Mg1 Ag3'
_symmetry_space_group_name_H-M 'P 1'
_symmetry_Int_Tables_number 1
_symmetry_space_group_name_Hall 'P 1'
_cell_length_a 4.751
_cell_length_b 4.751
_cell_length_c 4.751
_cell_angle_alpha 90.00
_cell_angle_beta 90.00
_cell_angle_gamma 90.00
loop_
_atom_site_label
_atom_site_type_symbol
_atom_site_fract_x
_atom_site_fract_y
_atom_site_fract_z
Hf1 Hf 0.000 0.000 0.000
Mg1 Mg 0.500 0.500 0.500
Ag1 Ag 0.000 0.500 0.500
Ag2 Ag 0.500 0.000 0.500
Ag3 Ag 0.500 0.500 0.000

It is B that is the most stable of them.

--- A ---
# HfMnAg3 (PBE, relaxed)
# Density of states at the Fermi level, states/eV per atom: 1.566
data_HfMnAg3
_chemical_formula_sum 'Hf1 Mn1 Ag3'
_symmetry_space_group_name_H-M 'P 1'
_symmetry_Int_Tables_number 1
_symmetry_space_group_name_Hall 'P 1'
_cell_length_a 4.708
_cell_length_b 4.708
_cell_length_c 4.708
_cell_angle_alpha 90.00
_cell_angle_beta 90.00
_cell_angle_gamma 90.00
loop_
_atom_site_label
_atom_site_type_symbol
_atom_site_fract_x
_atom_site_fract_y
_atom_site_fract_z
Hf1 Hf 0.000 0.000 0.000
Mn1 Mn 0.500 0.500 0.500
Ag1 Ag 0.000 0.500 0.500
Ag2 Ag 0.500 0.000 0.500
Ag3 Ag 0.500 0.500 0.000

--- B ---
# HfMnAg3 (PBE, relaxed)
# Density of states at the Fermi level, states/eV per atom: 0.849
data_HfMnAg3
_chemical_formula_sum 'Hf1 Mn1 Ag3'
_symmetry_space_group_name_H-M 'P 1'
_symmetry_Int_Tables_number 1
_symmetry_space_group_name_Hall 'P 1'
_cell_length_a 5.199
_cell_length_b 5.199
_cell_length_c 5.199
_cell_angle_alpha 90.00
_cell_angle_beta 90.00
_cell_angle_gamma 90.00
loop_
_atom_site_label
_atom_site_type_symbol
_atom_site_fract_x
_atom_site_fract_y
_atom_site_fract_z
Hf1 Hf 0.000 0.000 0.000
Mn1 Mn 0.500 0.500 0.500
Ag1 Ag 0.000 0.000 0.500
Ag2 Ag 0.000 0.500 0.000
Ag3 Ag 0.500 0.000 0.000

It is A that is the most stable of them.

--- A ---
# Hf2AgMo (PBE, relaxed)
# Density of states at the Fermi level, states/eV per atom: 1.406
data_Hf2AgMo
_chemical_formula_sum 'Hf4 Ag2 Mo2'
_symmetry_space_group_name_H-M 'P 1'
_symmetry_Int_Tables_number 1
_symmetry_space_group_name_Hall 'P 1'
_cell_length_a 9.997
_cell_length_b 9.997
_cell_length_c 9.997
_cell_angle_alpha 155.96
_cell_angle_beta 155.96
_cell_angle_gamma 34.25
loop_
_atom_site_label
_atom_site_type_symbol
_atom_site_fract_x
_atom_site_fract_y
_atom_site_fract_z
Hf1 Hf 0.115 0.625 0.990
Hf2 Hf 0.375 0.365 0.490
Hf3 Hf 0.635 0.125 0.010
Hf4 Hf 0.875 0.885 0.510
Ag1 Ag 0.250 0.750 0.500
Ag2 Ag 0.500 0.500 0.000
Mo1 Mo 0.000 0.000 0.000
Mo2 Mo 0.750 0.250 0.500

--- B ---
# Hf2AgMo (PBE, relaxed)
# Density of states at the Fermi level, states/eV per atom: 0.952
data_Hf2AgMo
_chemical_formula_sum 'Hf2 Ag1 Mo1'
_symmetry_space_group_name_H-M 'P 1'
_symmetry_Int_Tables_number 1
_symmetry_space_group_name_Hall 'P 1'
_cell_length_a 4.744
_cell_length_b 4.744
_cell_length_c 4.744
_cell_angle_alpha 60.00
_cell_angle_beta 60.00
_cell_angle_gamma 60.00
loop_
_atom_site_label
_atom_site_type_symbol
_atom_site_fract_x
_atom_site_fract_y
_atom_site_fract_z
Hf1 Hf 0.250 0.250 0.250
Hf2 Hf 0.750 0.750 0.750
Ag1 Ag 0.000 0.000 0.000
Mo1 Mo 0.500 0.500 0.500

It is B that is the most stable of them.

--- A ---
# HfAgN2 (PBE, relaxed)
# Density of states at the Fermi level, states/eV per atom: 1.040
data_HfAgN2
_chemical_formula_sum 'Hf1 Ag1 N2'
_symmetry_space_group_name_H-M 'P 1'
_symmetry_Int_Tables_number 1
_symmetry_space_group_name_Hall 'P 1'
_cell_length_a 4.018
_cell_length_b 4.018
_cell_length_c 4.018
_cell_angle_alpha 60.00
_cell_angle_beta 60.00
_cell_angle_gamma 60.00
loop_
_atom_site_label
_atom_site_type_symbol
_atom_site_fract_x
_atom_site_fract_y
_atom_site_fract_z
Hf1 Hf 0.000 0.000 0.000
Ag1 Ag 0.500 0.500 0.500
N1 N 0.250 0.250 0.250
N2 N 0.750 0.750 0.750

--- B ---
# HfAgN2 (PBE, relaxed)
# Density of states at the Fermi level, states/eV per atom: 1.780
data_HfAgN2
_chemical_formula_sum 'Hf1 Ag1 N2'
_symmetry_space_group_name_H-M 'P 1'
_symmetry_Int_Tables_number 1
_symmetry_space_group_name_Hall 'P 1'
_cell_length_a 6.508
_cell_length_b 6.508
_cell_length_c 6.508
_cell_angle_alpha 29.55
_cell_angle_beta 29.55
_cell_angle_gamma 29.55
loop_
_atom_site_label
_atom_site_type_symbol
_atom_site_fract_x
_atom_site_fract_y
_atom_site_fract_z
Hf1 Hf 0.000 0.000 0.000
Ag1 Ag 0.500 0.500 0.500
N1 N 0.389 0.389 0.389
N2 N 0.611 0.611 0.611

It is B that is the most stable of them.

--- A ---
# HfAgS2N (PBE, relaxed)
# Density of states at the Fermi level, states/eV per atom: 0.938
data_HfAgS2N
_chemical_formula_sum 'Hf1 Ag1 S2 N1'
_symmetry_space_group_name_H-M 'P 1'
_symmetry_Int_Tables_number 1
_symmetry_space_group_name_Hall 'P 1'
_cell_length_a 5.000
_cell_length_b 5.000
_cell_length_c 4.118
_cell_angle_alpha 90.00
_cell_angle_beta 90.00
_cell_angle_gamma 90.00
loop_
_atom_site_label
_atom_site_type_symbol
_atom_site_fract_x
_atom_site_fract_y
_atom_site_fract_z
Hf1 Hf 0.000 0.000 0.000
Ag1 Ag 0.500 0.500 0.500
S1 S 0.000 0.500 0.000
S2 S 0.500 0.000 0.000
N1 N 0.000 0.000 0.500

--- B ---
# HfAgS2N (PBE, relaxed)
# Density of states at the Fermi level, states/eV per atom: 0.783
data_HfAgS2N
_chemical_formula_sum 'Hf1 Ag1 S2 N1'
_symmetry_space_group_name_H-M 'P 1'
_symmetry_Int_Tables_number 1
_symmetry_space_group_name_Hall 'P 1'
_cell_length_a 4.719
_cell_length_b 4.719
_cell_length_c 3.967
_cell_angle_alpha 90.00
_cell_angle_beta 90.00
_cell_angle_gamma 90.00
loop_
_atom_site_label
_atom_site_type_symbol
_atom_site_fract_x
_atom_site_fract_y
_atom_site_fract_z
Hf1 Hf 0.000 0.000 0.000
Ag1 Ag 0.500 0.500 0.500
S1 S 0.000 0.500 0.500
S2 S 0.500 0.000 0.500
N1 N 0.500 0.500 0.000

It is A that is the most stable of them.

--- A ---
# NaHf3Ag (PBE, relaxed)
# Density of states at the Fermi level, states/eV per atom: 2.276
data_NaHf3Ag
_chemical_formula_sum 'Na1 Hf3 Ag1'
_symmetry_space_group_name_H-M 'P 1'
_symmetry_Int_Tables_number 1
_symmetry_space_group_name_Hall 'P 1'
_cell_length_a 5.197
_cell_length_b 5.197
_cell_length_c 5.197
_cell_angle_alpha 90.00
_cell_angle_beta 90.00
_cell_angle_gamma 90.00
loop_
_atom_site_label
_atom_site_type_symbol
_atom_site_fract_x
_atom_site_fract_y
_atom_site_fract_z
Na1 Na 0.000 0.000 0.000
Hf1 Hf 0.000 0.500 0.500
Hf2 Hf 0.500 0.000 0.500
Hf3 Hf 0.500 0.500 0.000
Ag1 Ag 0.500 0.500 0.500

--- B ---
# NaHf3Ag (PBE, relaxed)
# Density of states at the Fermi level, states/eV per atom: 0.610
data_NaHf3Ag
_chemical_formula_sum 'Na1 Hf3 Ag1'
_symmetry_space_group_name_H-M 'P 1'
_symmetry_Int_Tables_number 1
_symmetry_space_group_name_Hall 'P 1'
_cell_length_a 4.936
_cell_length_b 4.936
_cell_length_c 4.936
_cell_angle_alpha 90.00
_cell_angle_beta 90.00
_cell_angle_gamma 90.00
loop_
_atom_site_label
_atom_site_type_symbol
_atom_site_fract_x
_atom_site_fract_y
_atom_site_fract_z
Na1 Na 0.000 0.000 0.000
Hf1 Hf 0.000 0.000 0.500
Hf2 Hf 0.000 0.500 0.000
Hf3 Hf 0.500 0.000 0.000
Ag1 Ag 0.500 0.500 0.500

It is A that is the most stable of them.